(1)
Pr5Sc3Se8 GGA-PBE optimized geometry; symmetry = R-3m (166); formation energy without anion corrections = -1.72 eV per atom; raw total energy = -6.14 eV/atom; DOS(E_F) = 10.12 states/eV/cell
1.0
4.087 2.360 6.879
-4.087 2.360 6.879
0.000 -4.720 6.879
Pr Sc Se
5 3 8
Cartesian
0.000 0.000 0.000
-2.044 -1.180 6.879
-2.044 1.180 13.757
0.000 2.360 6.879
0.000 0.000 10.318
-4.087 0.000 10.318
-2.044 1.180 3.439
2.044 1.180 3.439
-2.136 -1.233 11.882
0.000 0.000 4.938
0.000 -2.466 8.754
-2.136 1.233 8.754
2.136 -1.233 11.882
0.000 2.466 11.882
0.000 0.000 15.698
2.136 1.233 8.754



(2)
Pr2ScSe4 GGA-PBE optimized geometry; symmetry = P2_1/m (11); formation energy without anion corrections = -1.66 eV per atom; raw total energy = -5.92 eV/atom; DOS(E_F) = 6.09 states/eV/cell
1.0
7.232 0.000 0.000
0.000 7.043 0.000
-2.284 0.000 7.794
Pr Sc Se
4 2 8
Cartesian
1.387 1.761 0.429
0.310 1.761 4.298
4.639 5.282 3.496
3.562 5.282 7.365
0.075 5.282 6.368
4.873 1.761 1.426
-0.544 3.563 1.970
-0.544 7.001 1.970
1.983 5.282 4.761
3.135 5.282 0.962
1.814 1.761 6.832
2.966 1.761 3.033
5.492 0.042 5.824
5.492 3.479 5.824



- Look up the DOS(E_F) of the first one.
  10.12 states/eV/cell